Here is a crystal of ReSb2Pb relaxed with PBEsol from the Alexandria database. Energies are from meta-GGA SCAN.

Geometry as CIF:
```
data_ReSb2Pb
_chemical_formula_sum 'Re2 Sb4 Pb2'
_cell_length_a 3.257
_cell_length_b 4.709
_cell_length_c 12.404
_cell_angle_alpha 90.00
_cell_angle_beta 90.00
_cell_angle_gamma 90.00
_symmetry_space_group_name_H-M 'I m m m'
_symmetry_Int_Tables_number 71
_symmetry_space_group_name_Hall '-I 2 2'
loop_
_atom_site_label
_atom_site_type_symbol
_atom_site_fract_x
_atom_site_fract_y
_atom_site_fract_z
_atom_site_occupancy
Re1 Re 0.000 0.000 0.000 1
Sb1 Sb 0.000 0.500 0.318 1
Pb1 Pb 0.000 0.000 0.500 1
```

Computed properties:
The calculation puts the total magnetization at 0.0 μB/cell. The value obtained for the raw total energy is -54.775 eV per atom. The calculation puts the density of states at the Fermi level at 5.4 states/eV/cell. As for the energy relative to the elements, uncorrected: 0.58 eV per atom. For the mass density, the calculation gives 11121 kg/m³.